No. 1
Computed, not measured: K2NpSbS4 after structural relaxation at the PBE level of DFT. Values from VASP.

**Raw formation energy**: -1.0122 eV/atom
**Raw total energy**: -5.4832 eV per atom

The structure in Quantum ESPRESSO input format:
```
&SYSTEM
  ibrav = 0, nat = 16, ntyp = 4
/
ATOMIC_SPECIES
K 39.10 K.upf
Np 237.00 Np.upf
Sb 121.76 Sb.upf
S 32.06 S.upf
CELL_PARAMETERS angstrom
-4.2064 4.2569 5.9629
4.2064 -4.2569 5.9629
4.2064 4.2569 -5.9629
ATOMIC_POSITIONS angstrom
K 0.0000 0.0000 0.0000
K -2.1032 2.1285 2.9814
K 0.0000 4.2569 0.0000
K 2.1032 2.1285 2.9814
Np 2.1032 2.1285 -2.9814
Np 2.1032 -2.1285 2.9814
Sb 4.2064 0.0000 0.0000
Sb 0.0000 0.0000 5.9629
S 4.2064 -0.2830 2.8168
S 4.2064 3.9740 -2.8168
S 2.3424 2.1285 -0.1906
S 6.0704 2.1285 -0.1906
S -1.8640 2.1285 6.1534
S 1.8640 2.1285 6.1534
S 0.0000 0.2830 8.7796
S 0.0000 4.5399 3.1461
```



No. 2
Computed, not measured: Tl3AgS4 after structural relaxation at the PBE level of DFT. Values from VASP.

**Raw formation energy**: -0.1192 eV/atom
**Offset from the most stable computed form**: 0.00 eV/f.u.
**Raw total energy**: -3.4267 eV per atom

The structure in Quantum ESPRESSO input format:
```
&SYSTEM
  ibrav = 0, nat = 8, ntyp = 3
/
ATOMIC_SPECIES
Tl 204.38 Tl.upf
Ag 107.87 Ag.upf
S 32.06 S.upf
CELL_PARAMETERS angstrom
-2.9951 2.9951 6.6304
2.9951 -2.9951 6.6304
2.9951 2.9951 -6.6304
ATOMIC_POSITIONS angstrom
Tl 0.0000 0.0000 0.0000
Tl 2.9951 0.0000 3.3152
Tl 0.0000 2.9951 3.3152
Ag 0.0000 0.0000 6.6304
S 1.6686 1.6686 -1.8027
S 1.3265 -1.3265 8.4331
S 1.3265 1.3265 4.8277
S -1.3265 1.3265 8.4331
```



No. 3
Computed, not measured: ScIrRu2 after structural relaxation at the PBE level of DFT. Values from VASP.

**Energy of formation from the pure elements**: -0.2273 eV per atom
**Offset from the most stable computed form**: 0.11 eV/f.u.
**Raw total energy**: -8.6633 eV per atom

The structure in Quantum ESPRESSO input format:
```
&SYSTEM
  ibrav = 0, nat = 4, ntyp = 3
/
ATOMIC_SPECIES
Sc 44.96 Sc.upf
Ir 192.22 Ir.upf
Ru 101.07 Ru.upf
CELL_PARAMETERS angstrom
0.0000 2.7597 4.0194
2.7561 0.0000 4.0194
2.7561 2.7597 0.0000
ATOMIC_POSITIONS angstrom
Sc 0.0000 0.0000 0.0000
Ir 2.7561 2.7597 4.0194
Ru 1.3780 1.3799 2.0097
Ru 4.1341 4.1396 6.0291
```



No. 4
Computed, not measured: Tb4InHg3 after structural relaxation at the PBE level of DFT. Values from VASP.

**Energy of formation from the pure elements**: -0.4792 eV per atom
**Raw total energy**: -3.2498 eV per atom

The structure in Quantum ESPRESSO input format:
```
&SYSTEM
  ibrav = 0, nat = 8, ntyp = 3
/
ATOMIC_SPECIES
Tb 158.93 Tb.upf
In 114.82 In.upf
Hg 200.59 Hg.upf
CELL_PARAMETERS angstrom
3.7285 0.0000 0.0000
0.0000 3.7285 0.0000
0.0000 0.0000 15.1429
ATOMIC_POSITIONS angstrom
Tb 0.0000 0.0000 1.8784
Tb 0.0000 0.0000 5.6154
Tb 0.0000 0.0000 9.5276
Tb 0.0000 0.0000 13.2645
In 1.8643 1.8643 7.5715
Hg 1.8643 1.8643 0.0000
Hg 1.8643 1.8643 3.7538
Hg 1.8643 1.8643 11.3891
```



No. 5
Computed, not measured: NdEr3Th2As6 after structural relaxation at the PBE level of DFT. Values from VASP.

**Energy of formation from the pure elements**: -1.4833 eV per atom
**Raw total energy**: -6.5827 eV per atom

The structure in Quantum ESPRESSO input format:
```
&SYSTEM
  ibrav = 0, nat = 12, ntyp = 4
/
ATOMIC_SPECIES
Nd 144.24 Nd.upf
Er 167.26 Er.upf
Th 232.04 Th.upf
As 74.92 As.upf
CELL_PARAMETERS angstrom
9.0790 -2.0915 0.0000
9.0790 2.0915 0.0000
-1.8628 0.0000 8.1128
ATOMIC_POSITIONS angstrom
Nd 0.0000 0.0000 0.0000
Er -0.9314 0.0000 4.0564
Er 5.7641 0.0000 1.3487
Er 10.5311 0.0000 6.7641
Th 4.8276 0.0000 5.4274
Th 11.4677 0.0000 2.6855
As 1.8953 0.0000 4.7760
As 2.9349 0.0000 0.6348
As 8.5640 0.0000 2.0903
As 7.7312 0.0000 6.0225
As 13.3604 0.0000 7.4780
As 14.3999 0.0000 3.3368
```



No. 6
Computed, not measured: Mg3TlCd after structural relaxation at the PBE level of DFT. Values from VASP.

**Energy of formation from the pure elements**: 0.2157 eV per atom
**Offset from the most stable computed form**: 1.29 eV/f.u.
**Raw total energy**: -1.3973 eV per atom

The structure in Quantum ESPRESSO input format:
```
&SYSTEM
  ibrav = 0, nat = 5, ntyp = 3
/
ATOMIC_SPECIES
Mg 24.30 Mg.upf
Tl 204.38 Tl.upf
Cd 112.41 Cd.upf
CELL_PARAMETERS angstrom
5.2835 0.0000 0.0000
0.0000 5.2835 0.0000
0.0000 0.0000 5.2835
ATOMIC_POSITIONS angstrom
Mg 0.0000 0.0000 2.6417
Mg 0.0000 2.6417 0.0000
Mg 2.6417 0.0000 0.0000
Tl 2.6417 2.6417 2.6417
Cd 0.0000 0.0000 0.0000
```



No. 7
Computed, not measured: HgPtW2 after structural relaxation at the PBE level of DFT. Values from VASP.

**Energy of formation from the pure elements**: 0.3345 eV per atom
**Raw total energy**: -7.7278 eV per atom

The structure in Quantum ESPRESSO input format:
```
&SYSTEM
  ibrav = 0, nat = 4, ntyp = 3
/
ATOMIC_SPECIES
Hg 200.59 Hg.upf
Pt 195.08 Pt.upf
W 183.84 W.upf
CELL_PARAMETERS angstrom
2.7724 0.0000 0.0000
0.0000 4.1227 0.0000
0.0000 0.0000 5.9401
ATOMIC_POSITIONS angstrom
Hg 0.0000 0.0000 0.0000
Pt 1.3862 2.0614 1.5359
W 0.0000 0.0000 2.9662
W 1.3862 2.0614 4.3296
```



No. 8
Computed, not measured: LiCa2Br after structural relaxation at the PBE level of DFT. Values from VASP.

**Raw formation energy**: -0.6252 eV/atom
**Offset from the most stable computed form**: 0.05 eV/f.u.
**Raw total energy**: -2.5226 eV per atom

The structure in Quantum ESPRESSO input format:
```
&SYSTEM
  ibrav = 0, nat = 4, ntyp = 3
/
ATOMIC_SPECIES
Li 6.94 Li.upf
Ca 40.08 Ca.upf
Br 79.90 Br.upf
CELL_PARAMETERS angstrom
4.1238 0.0000 0.0000
0.0000 3.7991 0.0000
-0.0113 0.0000 8.6650
ATOMIC_POSITIONS angstrom
Li 0.0000 0.0000 0.0000
Ca 2.0469 1.8996 6.7096
Ca 2.0656 1.8996 1.9554
Br 2.0562 0.0000 4.3325
```



no.,total magnetization (μB per formula unit)
1,3.944
2,0.000
3,0.000
4,0.217
5,0.000
6,0.000
7,0.000
8,0.000